Compound: Hf6CoPd2
Source: the Alexandria database
Functional: PBE
Structure: optimized geometry

Output
The value obtained for the formation energy is -36 kJ per mole of atoms. Its energy relative to the lowest polymorph listed for this composition is 0.00 eV per formula unit. The calculation puts the magnetization at 0.0 μB/cell.

a b c (Å): 3.313 7.495 7.916
angles (deg): 118.25 90.00 90.00
Atoms (fractional coordinates):
Hf1 0.500 0.582 0.000
Hf2 0.500 0.410 0.379
Hf3 0.500 0.030 0.621
Hf4 0.000 0.223 0.000
Hf5 0.000 0.750 0.738
Hf6 0.000 0.012 0.262
Co1 0.500 0.955 0.000
Pd1 0.000 0.357 0.675
Pd2 0.000 0.682 0.325



Compound: CaRhSN2
Source: the Alexandria database
Functional: PBE
Structure: optimized geometry

Output
The formation energy (no corrections) comes out at 1.811 eV/atom. Its energy relative to the lowest polymorph listed for this composition is 8.36 eV per formula unit. The calculation puts the magnetization at 6.4 μB/cell.

a b c (Å): 4.371 4.371 5.505
angles (deg): 90.00 90.00 90.00
Last column: magnetic moment on the atom in μB.
Atoms (fractional coordinates):
Ca1 0.000 0.000 0.000  0.09
Rh1 0.500 0.500 0.500  1.68
S1 0.000 0.000 0.500  0.22
N1 0.000 0.500 0.000  1.40
N2 0.500 0.000 0.000  1.40



Compound: Rb2LiCdF
Source: the Alexandria database
Functional: PBE
Structure: optimized geometry

Output
The formation energy (no corrections) comes out at -0.966 eV/atom. The calculation puts the magnetization at 0.0 μB/cell.

a b c (Å): 6.779 6.779 3.818
angles (deg): 90.00 90.00 90.00
Atoms (fractional coordinates):
F1 0.000 0.000 0.000
Li1 0.000 0.000 0.500
Rb1 0.000 0.500 0.000
Rb2 0.500 0.000 0.000
Cd1 0.500 0.500 0.500



Compound: LiB3Pd
Source: the Alexandria database
Functional: PBE
Structure: optimized geometry

Output
The value obtained for the formation energy is 118 kJ per mole of atoms. Its energy relative to the lowest polymorph listed for this composition is 0.00 eV per formula unit. The calculation puts the magnetization at 0.0 μB/cell.

a b c (Å): 4.095 4.095 4.095
angles (deg): 90.00 90.00 90.00
Atoms (fractional coordinates):
B1 0.000 0.500 0.000
B2 0.000 0.000 0.500
B3 0.500 0.000 0.000
Pd1 0.000 0.000 0.000
Li1 0.500 0.500 0.500



Compound: DyCrC
Source: the Alexandria database
Functional: PBE
Structure: optimized geometry

Output
The value obtained for the formation energy is 17 kJ per mole of atoms. Its energy relative to the lowest polymorph listed for this composition is 0.23 eV per formula unit. The calculation puts the magnetization at 1.2 μB/cell.

a b c (Å): 4.228 3.469 3.469
angles (deg): 120.00 90.00 90.00
Last column: magnetic moment on the atom in μB.
Atoms (fractional coordinates):
Cr1 0.167 0.333 0.667  1.12
C1 0.167 0.000 0.000  -0.07
Dy1 0.667 0.667 0.333  0.06



Compound: NaMo2As2
Source: the Alexandria database
Functional: PBE
Structure: optimized geometry

Output
The value obtained for the formation energy is 4 kJ per mole of atoms. Its energy relative to the lowest polymorph listed for this composition is 1.29 eV per formula unit. The calculation puts the magnetization at 0.0 μB/cell.

a b c (Å): 4.807 4.807 5.501
angles (deg): 64.09 64.09 90.00
Atoms (fractional coordinates):
Na1 0.000 0.000 0.000
Mo1 0.372 0.372 0.256
Mo2 0.628 0.628 0.744
As1 0.750 0.250 0.500
As2 0.250 0.750 0.500



Among the records above, which one has the highest magnetization?
CaRhSN2